First-principles (PBE) data for a geometry-optimized AlSnGeMo2 structure, as listed in Alexandria via LeMat-Bulk.

Summary:
Its formation energy is 1.215 eV/atom. As for the space group: P4/mmm, No. 123. For the density of states at the Fermi level, the calculation gives 6.5 states/eV per cell.

```
5
Lattice="4.784 0.000 0.000 0.000 4.784 0.000 0.000 0.000 4.553" Properties=species:S:1:pos:R:3 pbc="T T T"
Al 0.000 0.000 0.000
Sn 2.392 2.392 2.277
Ge 0.000 0.000 2.277
Mo 0.000 2.392 0.000
Mo 2.392 0.000 0.000
```